Pr2PdF8, optimized geometry, DFT PBE; calculated density = 5717 kg/m3; space group = No. 12; E_tot = -5.885 eV per atom; raw formation energy = -3.183 eV/atom; total moment = 2.01 Bohr magnetons per cell; crystal system = monoclinic
1.0
3.614 0.000 -0.909
-0.179 6.205 -0.712
-0.131 -0.731 7.120
Pr Pd F
2 1 8
Direct
0.178 0.700 0.355 Pr
0.822 0.300 0.645 Pr
0.500 0.000 0.000 Pd
0.598 0.529 0.196 F
0.331 0.015 0.662 F
0.211 0.337 0.422 F
0.019 0.809 0.038 F
0.789 0.663 0.578 F
0.669 0.985 0.338 F
0.402 0.471 0.804 F
0.981 0.191 0.962 F